A plane-wave DFT calculation with PBE was carried out for TbTh2Ir after structural relaxation.

Unit cell a=3.843 b=6.176 c=10.048 alpha=90.00 beta=90.00 gamma=108.04
Fractional coordinates of all 8 atoms:
Th 0.362 0.723 0.940
Th 0.638 0.277 0.440
Th 0.638 0.277 0.060
Th 0.362 0.723 0.560
Tb 0.917 0.834 0.250
Tb 0.083 0.166 0.750
Ir 0.211 0.423 0.250
Ir 0.789 0.577 0.750

Energy relative to the lowest polymorph listed for this composition: 3.1 meV/atom
E_form: -0.504 eV/atom
Final energy: -7.586 eV/atom